Density functional theory data (PBE) for a relaxed K2Li4HgBi3 crystal.

Unit cell a=4.8809 b=4.8809 c=11.9292 alpha=90.00 beta=90.00 gamma=90.00
Last column: nearest neighbours and their distance in Å.
Fractional positions:
K1 0.5000 0.0000 0.2401  6 Bi 3.70-3.95, 8 Li 3.76-3.77, 2 Hg 3.95
K2 0.0000 0.5000 0.7599  6 Bi 3.70-3.95, 8 Li 3.76-3.77, 2 Hg 3.95
Li1 0.5000 0.5000 0.0000  4 Bi 2.89
Li2 0.0000 0.0000 0.0000  4 Bi 2.89
Li3 0.5000 0.0000 0.6325  3 Bi 2.84-2.91, 2 Hg 2.91
Li4 0.0000 0.5000 0.3675  3 Bi 2.84-2.91, 2 Hg 2.91
Hg1 0.5000 0.5000 0.5000  4 Li 2.91
Bi1 0.0000 0.0000 0.5000  4 Li 2.91
Bi2 0.5000 0.0000 0.8707  5 Li 2.84-2.89
Bi3 0.0000 0.5000 0.1293  5 Li 2.84-2.89

## Properties
Energy (eV per atom): -2.50
Formation energy (meV/atom): -325